The following is a PBE-GGA calculation of a relaxed ZrBeSnOs crystal, from the Open Quantum Materials Database.

Cell and atoms, written as POSCAR:
```
ZrBeSnOs
1.0
0.000 3.206 3.206
3.206 0.000 3.206
3.206 3.206 0.000
Zr Be Sn Os
1 1 1 1
Cartesian
0.000 0.000 0.000
4.808 4.808 4.808
1.603 1.603 1.603
3.206 3.206 3.206
```

Output
Energy above the most stable polymorph in this dataset in meV per atom: 185
Space-group type: No. 216